Density functional theory data (PBE-GGA) for crystalline Er3Th3MnTl2 at its relaxed geometry.

Calculated values
The value obtained for the formation enthalpy at 0 K is -0.143 eV per atom. The space-group type is No. 189. As for the total energy: -5.68 eV per atom.

Lattice parameters (Å, degrees): 3.778 8.702 8.702 120.00 90.00 90.00
Fractional coordinates of all 9 atoms:
Er1 0.000 0.602 0.602
Er2 0.000 0.000 0.398
Er3 0.000 0.398 0.000
Th1 0.500 0.764 0.000
Th2 0.500 0.000 0.764
Th3 0.500 0.236 0.236
Mn1 0.000 0.000 0.000
Tl1 0.500 0.667 0.333
Tl2 0.500 0.333 0.667